Entry 1:
A relaxed NdAlCo4 crystal. Source: Alexandria via LeMat-Bulk, functional GGA-PBE.

- calculated total energy (eV per atom) = -6.256
- ΔE_f (meV per atom) = -101
- E above lowest polymorph (meV/atom) = 88.5

Lattice parameters (Å, degrees): 4.969 4.969 4.969 60.00 60.00 60.00
Each line ends with the local moment (μB).
Positions (direct):
Al1 0.000 0.000 0.000  -0.02
Co1 0.627 0.627 0.627  1.23
Co2 0.627 0.627 0.120  1.23
Co3 0.627 0.120 0.627  1.23
Nd1 0.250 0.250 0.250  -0.20
Co4 0.120 0.627 0.627  1.23


Entry 2:
A relaxed GaCuBr3 crystal. Source: Alexandria via LeMat-Bulk, functional GGA-PBE.

- calculated total energy (eV per atom) = -2.580
- E_form (uncorrected) (meV/atom) = -151.9
- E above lowest polymorph (meV/atom) = 147.2

Lattice parameters (Å, degrees): 7.243 7.243 7.243 116.58 116.58 96.03
Positions (direct):
Ga1 0.000 0.000 0.000
Ga2 0.500 0.500 0.000
Br1 0.654 0.154 0.808
Cu1 0.750 0.250 0.500
Br2 0.250 0.250 0.000
Br3 0.750 0.750 0.000
Br4 0.846 0.654 0.500
Cu2 0.250 0.750 0.500
Br5 0.154 0.346 0.500
Br6 0.346 0.846 0.192


Entry 3:
A relaxed Ti2BeZnCu crystal. Source: Alexandria via LeMat-Bulk, functional GGA-PBE.

- calculated total energy (eV per atom) = -4.650
- ΔE_f (meV per atom) = 327
- E above lowest polymorph (meV/atom) = 0.0

Lattice parameters (Å, degrees): 4.378 3.995 4.378 90.00 90.00 90.00
Positions (direct):
Zn1 0.500 0.500 0.500
Cu1 0.000 0.500 0.000
Ti1 0.000 0.000 0.500
Ti2 0.500 0.000 0.000
Be1 0.000 0.000 0.000


Entry 4:
A relaxed PmPr2Tm6 crystal. Source: Alexandria via LeMat-Bulk, functional GGA-PBE.

- calculated total energy (eV per atom) = -4.494
- ΔE_f (meV per atom) = 77
- E above lowest polymorph (meV/atom) = 0.0

Lattice parameters (Å, degrees): 3.532 9.694 9.694 120.00 90.00 90.00
Positions (direct):
Tm1 0.230 0.327 0.978
Tm2 0.770 0.978 0.651
Pr1 0.262 0.667 0.333
Pm1 0.500 0.000 0.000
Tm3 0.230 0.651 0.673
Pr2 0.738 0.333 0.667
Tm4 0.770 0.673 0.022
Tm5 0.770 0.349 0.327
Tm6 0.230 0.022 0.349


Entry 5:
A relaxed BaAcPa2S8 crystal. Source: Alexandria via LeMat-Bulk, functional GGA-PBE.

- calculated total energy (eV per atom) = -6.474
- E_form (uncorrected) (meV/atom) = -1636.8

Lattice parameters (Å, degrees): 6.900 6.900 8.134 115.10 115.10 90.00
Positions (direct):
Ba1 0.750 0.250 0.500
S1 0.878 0.840 0.246
Ac1 0.000 0.000 0.000
S2 0.594 0.122 0.754
S3 0.160 0.122 0.754
S4 0.367 0.406 0.246
Pa1 0.250 0.750 0.500
S5 0.160 0.633 0.754
S6 0.367 0.840 0.246
S7 0.878 0.406 0.246
S8 0.594 0.633 0.754
Pa2 0.500 0.500 0.000


Entry 6:
A relaxed PuPb2O6 crystal. Source: Alexandria via LeMat-Bulk, functional GGA-PBE.

- calculated total energy (eV per atom) = -7.369
- E_form (uncorrected) (meV/atom) = -1646.7

Lattice parameters (Å, degrees): 5.242 5.242 10.824 90.00 90.00 90.00
Each line ends with the local moment (μB).
Positions (direct):
O1 0.280 0.280 0.500  -0.05
O2 0.780 0.220 0.000  -0.05
Pb1 0.000 0.000 0.838  0.00
Pu1 0.000 0.000 0.500  1.45
O3 0.179 0.821 0.360  -0.05
O4 0.220 0.780 0.000  -0.05
O5 0.179 0.821 0.640  -0.05
Pb2 0.000 0.000 0.162  0.00
O6 0.321 0.321 0.860  -0.05
O7 0.720 0.720 0.500  -0.05
Pb3 0.500 0.500 0.338  0.00
O8 0.321 0.321 0.140  -0.05
O9 0.679 0.679 0.140  -0.05
O10 0.821 0.179 0.360  -0.05
Pu2 0.500 0.500 0.000  1.45
Pb4 0.500 0.500 0.662  0.00
O11 0.679 0.679 0.860  -0.05
O12 0.821 0.179 0.640  -0.05


Entry 7:
A relaxed Pm6Er3Sc crystal. Source: Alexandria via LeMat-Bulk, functional GGA-PBE.

- calculated total energy (eV per atom) = -4.635
- ΔE_f (meV per atom) = 218
- E above lowest polymorph (meV/atom) = 79.2

Lattice parameters (Å, degrees): 9.823 9.823 6.921 44.79 44.79 60.00
Positions (direct):
Er1 0.351 0.351 0.948
Pm1 0.767 0.095 0.699
Er2 0.096 0.096 0.712
Sc1 0.851 0.851 0.448
Pm2 0.933 0.604 0.203
Pm3 0.438 0.767 0.699
Pm4 0.261 0.933 0.203
Er3 0.605 0.605 0.186
Pm5 0.604 0.261 0.203
Pm6 0.095 0.438 0.699


Entry 8:
A relaxed Pm2Al3Zn4Ag crystal. Source: Alexandria via LeMat-Bulk, functional GGA-PBE.

- calculated total energy (eV per atom) = -3.218
- ΔE_f (meV per atom) = -350

Lattice parameters (Å, degrees): 4.268 4.268 10.791 90.00 90.00 90.00
Positions (direct):
Zn1 0.500 0.500 0.000
Zn2 0.000 0.000 0.000
Al1 0.000 0.000 0.500
Zn3 0.000 0.500 0.360
Ag1 0.500 0.500 0.500
Al2 0.500 0.000 0.868
Pm1 0.000 0.500 0.756
Zn4 0.500 0.000 0.640
Al3 0.000 0.500 0.132
Pm2 0.500 0.000 0.244


Entry 9:
A relaxed Mg3Pa5O16 crystal. Source: Alexandria via LeMat-Bulk, functional GGA-PBE.

- calculated total energy (eV per atom) = -8.602
- E_form (uncorrected) (meV/atom) = -3118.5

Lattice parameters (Å, degrees): 6.533 6.533 10.036 93.41 93.41 64.43
Each line ends with the local moment (μB).
Positions (direct):
O1 0.663 0.663 0.888  0.00
O2 0.827 0.827 0.388  0.03
O3 0.073 0.452 0.159  0.06
Pa1 0.334 0.831 0.783  0.00
Pa2 0.831 0.334 0.783  0.00
Pa3 0.354 0.354 0.021  0.02
O4 0.994 0.994 0.202  0.21
O5 0.452 0.073 0.159  0.06
Pa4 0.165 0.165 0.290  0.21
O6 0.669 0.175 0.894  0.01
O7 0.831 0.337 0.398  0.04
Mg1 0.670 0.154 0.298  0.00
O8 0.525 0.525 0.654  0.01
Mg2 0.154 0.670 0.298  0.00
Mg3 0.834 0.834 0.802  0.00
O9 0.337 0.831 0.398  0.04
O10 0.534 0.930 0.664  0.01
O11 0.930 0.534 0.664  0.01
O12 0.328 0.328 0.395  0.20
Pa5 0.674 0.674 0.494  0.01
O13 0.477 0.477 0.175  0.07
O14 0.177 0.177 0.888  0.01
O15 0.175 0.669 0.894  0.01
O16 0.993 0.993 0.696  0.00


Entry 10:
A relaxed Al2Ga2Si crystal. Source: Alexandria via LeMat-Bulk, functional GGA-PBE.

- calculated total energy (eV per atom) = -3.559
- E_form (uncorrected) (meV/atom) = 233.2
- E above lowest polymorph (meV/atom) = 0.0

Lattice parameters (Å, degrees): 8.029 8.029 2.763 90.00 90.00 90.00
Positions (direct):
Ga1 0.139 0.639 0.500
Ga2 0.361 0.139 0.500
Al1 0.161 0.339 0.000
Ga3 0.639 0.861 0.500
Al2 0.839 0.661 0.000
Si1 0.000 0.000 0.000
Si2 0.500 0.500 0.000
Ga4 0.861 0.361 0.500
Al3 0.339 0.839 0.000
Al4 0.661 0.161 0.000


Entry 11:
A relaxed KCu2HgOs crystal. Source: Alexandria via LeMat-Bulk, functional GGA-PBE.

- calculated total energy (eV per atom) = -2.390
- ΔE_f (meV per atom) = 1774

Lattice parameters (Å, degrees): 4.942 5.820 4.942 90.00 90.00 90.00
Each line ends with the local moment (μB).
Positions (direct):
Cu1 0.500 0.000 0.000  0.04
Hg1 0.000 0.000 0.000  -0.01
Cu2 0.000 0.000 0.500  0.04
Os1 0.500 0.500 0.500  2.84
K1 0.000 0.500 0.000  -0.01


Entry 12:
A relaxed La2FeTc crystal. Source: Alexandria via LeMat-Bulk, functional GGA-PBE.

- calculated total energy (eV per atom) = -6.830
- ΔE_f (meV per atom) = 341
- E above lowest polymorph (meV/atom) = 278.0

Lattice parameters (Å, degrees): 3.567 3.567 7.297 90.00 90.00 94.07
Each line ends with the local moment (μB).
Positions (direct):
La1 0.000 0.000 0.493  0.11
Fe1 0.500 0.500 0.750  -2.63
Tc1 0.500 0.500 0.250  -0.53
La2 0.000 0.000 0.007  0.11


Entry 13:
A relaxed LaHoGa2Pd2 crystal. Source: Alexandria via LeMat-Bulk, functional GGA-PBE.

- calculated total energy (eV per atom) = -5.177
- ΔE_f (meV per atom) = -853

Lattice parameters (Å, degrees): 4.552 4.552 7.100 90.00 90.00 120.00
Positions (direct):
Ga1 0.667 0.333 0.719
Pd1 0.667 0.333 0.282
Ho1 0.000 0.000 0.500
Pd2 0.333 0.667 0.718
La1 0.000 0.000 0.000
Ga2 0.333 0.667 0.281


Entry 14:
A relaxed Nb3ReSn crystal. Source: Alexandria via LeMat-Bulk, functional GGA-PBE.

- calculated total energy (eV per atom) = -7.124
- ΔE_f (meV per atom) = 2208
- E above lowest polymorph (meV/atom) = 1300.3

Lattice parameters (Å, degrees): 4.934 4.934 4.934 90.00 90.00 90.00
Each line ends with the local moment (μB).
Positions (direct):
Sn1 0.000 0.000 0.000  0.00
Nb1 0.000 0.500 0.000  -0.17
Nb2 0.500 0.000 0.000  -0.23
Re1 0.500 0.500 0.500  1.79
Nb3 0.000 0.000 0.500  -0.19


Entry 15:
A relaxed LiLa2Pm crystal. Source: Alexandria via LeMat-Bulk, functional GGA-PBE.

- calculated total energy (eV per atom) = -3.965
- ΔE_f (meV per atom) = 164
- E above lowest polymorph (meV/atom) = 105.0

Lattice parameters (Å, degrees): 3.581 3.581 12.851 81.99 81.99 60.00
Positions (direct):
La1 0.911 0.911 0.266
Pm1 0.500 0.500 0.500
La2 0.089 0.089 0.734
Li1 0.000 0.000 0.000


Entry 16:
A relaxed TaCr2Mo crystal. Source: Alexandria via LeMat-Bulk, functional GGA-PBE.

- calculated total energy (eV per atom) = -10.425
- ΔE_f (meV per atom) = 57
- E above lowest polymorph (meV/atom) = 77.6

Lattice parameters (Å, degrees): 3.087 4.398 4.258 90.00 90.00 90.00
Positions (direct):
Ta1 0.000 0.500 0.500
Cr1 0.500 0.500 0.000
Mo1 0.500 0.000 0.500
Cr2 0.000 0.000 0.000


Entry 17:
A relaxed La3Co4Ni2 crystal. Source: Alexandria via LeMat-Bulk, functional GGA-PBE.

- calculated total energy (eV per atom) = -6.226
- ΔE_f (meV per atom) = -141

Lattice parameters (Å, degrees): 3.999 5.759 8.084 98.59 89.99 110.28
Each line ends with the local moment (μB).
Positions (direct):
Ni1 0.611 0.222 0.279  -0.12
Co1 0.946 0.892 0.607  -0.68
Co2 0.054 0.108 0.393  -0.68
La1 0.334 0.668 0.334  0.02
Co3 0.725 0.449 0.050  0.85
La2 0.000 0.000 0.000  -0.04
Ni2 0.389 0.778 0.721  -0.12
La3 0.666 0.332 0.666  0.02
Co4 0.275 0.551 0.950  0.85


Entry 18:
A relaxed Si2PAuC crystal. Source: Alexandria via LeMat-Bulk, functional GGA-PBE.

- calculated total energy (eV per atom) = -5.411
- E_form (uncorrected) (meV/atom) = 340.4
- E above lowest polymorph (meV/atom) = 137.7

Lattice parameters (Å, degrees): 3.292 4.910 5.146 101.14 105.35 103.64
Positions (direct):
Au1 0.260 0.823 0.879
C1 0.906 0.418 0.211
P1 0.230 0.832 0.388
Si1 0.901 0.176 0.472
Si2 0.286 0.351 0.986


Entry 19:
A relaxed Cs2Pr2F7 crystal. Source: Alexandria via LeMat-Bulk, functional GGA-PBE.

- calculated total energy (eV per atom) = -5.621
- E_form (uncorrected) (meV/atom) = -3406.2

Lattice parameters (Å, degrees): 5.934 7.245 5.934 90.00 94.46 90.00
Positions (direct):
Pr1 0.272 0.000 0.728
F1 0.500 0.181 0.500
Cs1 0.743 0.500 0.743
F2 0.500 0.817 0.000
Cs2 0.257 0.500 0.257
F3 0.000 0.817 0.500
F4 0.500 0.819 0.500
F5 0.000 0.000 0.000
Pr2 0.728 0.000 0.272
F6 0.500 0.183 0.000
F7 0.000 0.183 0.500


Entry 20:
A relaxed Ti2TcHgB crystal. Source: Alexandria via LeMat-Bulk, functional GGA-PBE.

- calculated total energy (eV per atom) = -6.001
- ΔE_f (meV per atom) = 626

Lattice parameters (Å, degrees): 4.757 4.142 4.757 90.00 90.00 90.00
Positions (direct):
Tc1 0.000 0.000 0.000
B1 0.000 0.500 0.000
Ti1 0.000 0.000 0.500
Ti2 0.500 0.000 0.000
Hg1 0.500 0.500 0.500